First-principles (PBE) data for a relaxed structure of Hg2P2S7, as listed in the Alexandria database. Values from VASP.

```
&SYSTEM
  ibrav = 0, nat = 22, ntyp = 3
/
ATOMIC_SPECIES
P 30.97 P.upf
S 32.06 S.upf
Hg 200.59 Hg.upf
CELL_PARAMETERS angstrom
7.519 -1.027 -0.302
-2.308 7.230 -0.302
2.448 2.914 12.352
ATOMIC_POSITIONS crystal
P 0.818 0.761 0.324
P 0.182 0.239 0.676
P 0.239 0.182 0.176
P 0.761 0.818 0.824
S 0.932 0.068 0.250
S 0.043 0.287 0.558
S 0.859 0.598 0.217
S 0.536 0.714 0.378
S 0.598 0.859 0.717
S 0.286 0.464 0.122
S 0.464 0.286 0.622
S 0.141 0.402 0.783
S 0.287 0.043 0.058
S 0.068 0.932 0.750
S 0.713 0.957 0.942
S 0.714 0.536 0.878
S 0.402 0.141 0.283
S 0.957 0.713 0.442
Hg 0.689 0.694 0.582
Hg 0.694 0.689 0.082
Hg 0.311 0.306 0.418
Hg 0.306 0.311 0.918
```

Values from the calculation:
Total moment, μB per cell: 0.00
DOS(E_F), states/eV per cell: 0.00
E_form (uncorrected), kJ per mole of atoms: -16.4
Space-group type: C2/c, No. 15